A plane-wave DFT calculation with GGA+U was carried out for crystalline Mn2CdAsO4 at its relaxed geometry.

## Properties
Its crystal system is monoclinic. As for the total energy: -49.00 eV/f.u. Its symmetry is No. 15.

Unit cell a=6.255 b=6.255 c=6.484 alpha=114.02 beta=114.02 gamma=91.20
Sites, in units of the cell vectors:
Mn (0.000, 0.000, 0.000)
Mn (0.000, 0.000, 0.500)
Mn (0.000, 0.500, 0.000)
Mn (0.500, 0.000, 0.500)
Cd (0.000, 0.500, 0.500)
Cd (0.500, 0.000, 0.000)
As (0.500, 0.500, 0.000)
As (0.500, 0.500, 0.500)
O (0.199, 0.219, 0.892)
O (0.219, 0.199, 0.392)
O (0.247, 0.733, 0.996)
O (0.267, 0.753, 0.504)
O (0.733, 0.247, 0.496)
O (0.753, 0.267, 0.004)
O (0.781, 0.801, 0.608)
O (0.801, 0.781, 0.108)